Material: LiMgSc2Tl4
Method: DFT, PBE
State: relaxed

a b c (Å): 5.081 5.081 8.769
angles (deg): 73.16 73.16 60.00
Fractional coordinates of all 8 atoms:
Tl 0.378 0.378 0.865
Tl 0.128 0.128 0.616
Tl 0.622 0.622 0.135
Tl 0.872 0.872 0.384
Li 0.500 0.500 0.500
Sc 0.748 0.748 0.756
Sc 0.252 0.252 0.244
Mg 0.000 0.000 0.000

As for the space-group type: R-3m. The calculation puts the calculated formation energy at -0.189 eV per atom.

Material: Li2Mg2ScTl2
Method: DFT, PBE
State: relaxed

a b c (Å): 4.787 4.787 8.134
angles (deg): 72.89 72.89 60.00
Fractional coordinates of all 7 atoms:
Mg 0.134 0.134 0.599
Mg 0.866 0.866 0.401
Li 0.593 0.593 0.221
Li 0.407 0.407 0.779
Tl 0.268 0.268 0.197
Tl 0.732 0.732 0.803
Sc 0.000 0.000 0.000

As for the space-group type: R-3m. The calculation puts the calculated formation energy at -0.190 eV per atom.

Material: Li2Tm2Mg5Sc
Method: DFT, PBE
State: relaxed

a b c (Å): 4.268 10.435 10.435
angles (deg): 90.00 90.00 90.00
Fractional coordinates of all 20 atoms:
Li 0.000 0.116 0.616
Li 0.000 0.384 0.116
Li 0.000 0.616 0.884
Li 0.000 0.884 0.384
Mg 0.500 0.440 0.291
Mg 0.500 0.060 0.791
Mg 0.500 0.791 0.940
Mg 0.500 0.000 0.500
Mg 0.500 0.500 0.000
Mg 0.500 0.209 0.060
Mg 0.500 0.940 0.209
Mg 0.500 0.291 0.560
Mg 0.500 0.560 0.709
Mg 0.500 0.709 0.440
Tm 0.000 0.320 0.820
Tm 0.000 0.180 0.320
Tm 0.000 0.680 0.180
Tm 0.000 0.820 0.680
Sc 0.000 0.500 0.500
Sc 0.000 0.000 0.000

As for the space-group type: P4/mbm. The calculation puts the calculated formation energy at 0.003 eV per atom.

Material: Li2Y2Mg5Sc
Method: DFT, PBE
State: relaxed

a b c (Å): 4.229 10.581 10.581
angles (deg): 90.00 90.00 90.00
Fractional coordinates of all 20 atoms:
Y 0.000 0.319 0.819
Y 0.000 0.681 0.181
Y 0.000 0.819 0.681
Y 0.000 0.181 0.319
Sc 0.000 0.500 0.500
Sc 0.000 0.000 0.000
Li 0.000 0.116 0.616
Li 0.000 0.884 0.384
Li 0.000 0.616 0.884
Li 0.000 0.384 0.116
Mg 0.500 0.792 0.941
Mg 0.500 0.208 0.059
Mg 0.500 0.292 0.559
Mg 0.500 0.941 0.208
Mg 0.500 0.059 0.792
Mg 0.500 0.500 0.000
Mg 0.500 0.000 0.500
Mg 0.500 0.708 0.441
Mg 0.500 0.441 0.292
Mg 0.500 0.559 0.708

As for the space-group type: P4/mbm. The calculation puts the calculated formation energy at -0.030 eV per atom.

Material: LiMgZrSc
Method: DFT, PBE
State: relaxed

a b c (Å): 3.120 3.120 9.961
angles (deg): 99.01 99.01 90.00
Fractional coordinates of all 4 atoms:
Mg 0.942 0.942 0.884
Sc 0.565 0.565 0.130
Zr 0.176 0.176 0.351
Li 0.330 0.330 0.659

As for the space-group type: I4mm. The calculation puts the calculated formation energy at 0.114 eV per atom.

Material: Li4MgSe
Method: DFT, PBE
State: relaxed

a b c (Å): 5.438 5.438 5.438
angles (deg): 60.00 60.00 60.00
Fractional coordinates of all 6 atoms:
Se 0.000 0.000 0.000
Li 0.375 0.375 0.874
Li 0.375 0.375 0.375
Li 0.375 0.874 0.375
Li 0.874 0.375 0.375
Mg 0.750 0.750 0.750

The formation energy from raw total energies is -0.149 eV/atom. As for the space-group type: F-43m.

Material: LiMgSe2
Method: DFT, PBE
State: relaxed

a b c (Å): 4.863 4.863 4.863
angles (deg): 60.00 60.00 60.00
Fractional coordinates of all 4 atoms:
Se 0.000 0.000 0.000
Se 0.250 0.250 0.250
Li 0.500 0.500 0.500
Mg 0.750 0.750 0.750

The formation energy from raw total energies is -0.225 eV/atom. As for the space-group type: F-43m.

Material: Li2MgSe
Method: DFT, PBE
State: relaxed

a b c (Å): 6.720 6.720 6.720
angles (deg): 150.03 145.52 46.32
Fractional coordinates of all 4 atoms:
Se 0.249 0.749 0.500
Mg 0.425 0.425 0.000
Li 0.083 0.083 0.000
Li 0.743 0.243 0.500

The value obtained for the distance to the lowest polymorph of the same formula is 53 meV per atom. The formation energy from raw total energies is -0.595 eV/atom. As for the space-group type: Imm2.